1.
Compound: Cd2TcI
Source: Alexandria
Functional: GGA-PBE
Structure: relaxed

Lattice parameters (Å, degrees): 5.107 5.107 5.107 60.00 60.00 60.00
Atoms (fractional coordinates):
Cd1 0.250 0.250 0.250
Cd2 0.750 0.750 0.750
Tc1 0.000 0.000 0.000
I1 0.500 0.500 0.500

Final energy, eV per atom: -2.43
Uncorrected formation energy, meV per atom: 1003

---

2.
Compound: FeCoMoSe2
Source: Alexandria
Functional: GGA-PBE
Structure: relaxed

Lattice parameters (Å, degrees): 4.858 4.858 4.554 90.00 90.00 90.00
Atoms (fractional coordinates):
Fe1 0.000 0.000 0.000
Co1 0.500 0.500 0.000
Mo1 0.500 0.500 0.500
Se1 0.000 0.500 0.500
Se2 0.500 0.000 0.500

Final energy, eV per atom: -5.64
Uncorrected formation energy, meV per atom: 1029

---

3.
Compound: K2ZrCu
Source: Alexandria
Functional: GGA-PBE
Structure: relaxed

Lattice parameters (Å, degrees): 6.798 6.798 2.945 90.00 90.00 90.00
Atoms (fractional coordinates):
K1 0.000 0.500 0.000
K2 0.500 0.000 0.000
Zr1 0.000 0.000 0.500
Cu1 0.500 0.500 0.500

Final energy, eV per atom: -2.58

---

4.
Compound: P2RuN
Source: Alexandria
Functional: GGA-PBE
Structure: relaxed

Lattice parameters (Å, degrees): 5.640 5.640 5.640 127.32 127.32 77.73
Atoms (fractional coordinates):
P1 0.077 0.625 0.952
P2 0.375 0.327 0.452
P3 0.673 0.125 0.048
P4 0.875 0.923 0.548
Ru1 0.250 0.750 0.500
Ru2 0.500 0.500 0.000
N1 0.000 0.000 0.000
N2 0.750 0.250 0.500

Final energy, eV per atom: -6.88
Uncorrected formation energy, meV per atom: 230

---

What is the formula in the fourth record? P2RuN